A plane-wave DFT calculation with PBE-GGA was carried out for an optimized crystal structure of SrTcBr.

Geometry as CIF:
```
data_SrTcBr
_chemical_formula_sum 'Sr1 Tc1 Br1'
_symmetry_space_group_name_H-M 'P -6 m 2'
_symmetry_Int_Tables_number 187
_symmetry_space_group_name_Hall 'P -6 2'
_cell_length_a 4.4481
_cell_length_b 4.4481
_cell_length_c 4.3572
_cell_angle_alpha 90.00
_cell_angle_beta 90.00
_cell_angle_gamma 120.00
loop_
_atom_site_label
_atom_site_fract_x
_atom_site_fract_y
_atom_site_fract_z
Sr1 0.0000 0.0000 0.0000
Tc1 0.6667 0.3333 0.5000
Br1 0.3333 0.6667 0.5000
```

* density: 5.9 Mg/m³
* total moment: 1.73 μB per cell
* E_tot: -12.74 eV/cell
* polymorph energy (0 for the lowest one): 0.000 eV per atom
* formation energy (no corrections): 31.4 kJ per mole of atoms